# 1
Crystalline Pr4TlNi at its relaxed geometry, computed with PBE.

Crystal system: monoclinic
Energy (eV per atom): -4.74
E above lowest polymorph (eV/atom): 0.012
ΔH_f (0 K) (meV per atom): -199.5

Geometry as POSCAR:
```
Pr4TlNi
1.0
8.5342 -3.6150 0.0000
8.5342 3.6150 0.0000
-2.2827 0.0000 5.8636
Pr Tl Ni
8 2 2
direct
0.1309 0.6315 0.3839
0.2342 0.7658 0.0000
0.3096 0.3096 0.8145
0.3685 0.8691 0.6161
0.6315 0.1309 0.3839
0.6904 0.6904 0.1855
0.7658 0.2342 0.0000
0.8691 0.3685 0.6161
0.1953 0.1953 0.1959
0.8047 0.8047 0.8041
0.4989 0.4989 0.6958
0.5011 0.5011 0.3042
```

---

# 2
Crystalline InTeAs2 at its relaxed geometry, computed with PBE.

Crystal system: cubic
Energy (eV per atom): -3.46
E above lowest polymorph (eV/atom): 0.367

Geometry as POSCAR:
```
InTeAs2
1.0
0.0000 3.5895 3.5895
3.5895 0.0000 3.5895
3.5895 3.5895 0.0000
In Te As
1 1 2
direct
0.0000 0.0000 0.0000
0.5000 0.5000 0.5000
0.2500 0.2500 0.2500
0.7500 0.7500 0.7500
```

---

# 3
Crystalline Na4GeSe4 at its relaxed geometry, computed with PBE.

Crystal system: orthorhombic
Energy (eV per atom): -3.54
E above lowest polymorph (eV/atom): 0.000

Geometry as POSCAR:
```
Na4GeSe4
1.0
28.9032 0.0000 0.0000
0.0000 9.5152 0.0000
0.0000 0.0000 7.1984
Na Ge Se
32 8 32
direct
0.0232 0.0476 0.2447
0.0232 0.4524 0.2447
0.1044 0.7500 0.0444
0.1346 0.0016 0.5706
0.1346 0.4984 0.5706
0.1403 0.2500 0.0310
0.2436 0.5561 0.9047
0.2436 0.9439 0.9047
0.2564 0.0561 0.4047
0.2564 0.4439 0.4047
0.3597 0.7500 0.5310
0.3654 0.5016 0.0706
0.3654 0.9984 0.0706
0.3956 0.2500 0.5444
0.4768 0.5476 0.7447
0.4768 0.9524 0.7447
0.5232 0.0476 0.2553
0.5232 0.4524 0.2553
0.6044 0.7500 0.4556
0.6346 0.0016 0.9294
0.6346 0.4984 0.9294
0.6403 0.2500 0.4690
0.7436 0.5561 0.5953
0.7436 0.9439 0.5953
0.7564 0.0561 0.0953
0.7564 0.4439 0.0953
0.8597 0.7500 0.9690
0.8654 0.5016 0.4294
0.8654 0.9984 0.4294
0.8956 0.2500 0.9556
0.9768 0.5476 0.7553
0.9768 0.9524 0.7553
0.0444 0.2500 0.7066
0.2093 0.7500 0.3196
0.2907 0.2500 0.8196
0.4556 0.7500 0.2066
0.5444 0.2500 0.7934
0.7093 0.7500 0.1804
0.7907 0.2500 0.6804
0.9556 0.7500 0.2934
0.0360 0.7500 0.3634
0.0695 0.0470 0.8773
0.0695 0.4530 0.8773
0.0849 0.2500 0.4175
0.1728 0.5459 0.1961
0.1728 0.9541 0.1961
0.1956 0.7500 0.6490
0.2115 0.2500 0.7178
0.2885 0.7500 0.2178
0.3044 0.2500 0.1490
0.3272 0.0459 0.6961
0.3272 0.4541 0.6961
0.4151 0.7500 0.9175
0.4305 0.5470 0.3773
0.4305 0.9530 0.3773
0.4640 0.2500 0.8634
0.5360 0.7500 0.1366
0.5695 0.0470 0.6227
0.5695 0.4530 0.6227
0.5849 0.2500 0.0825
0.6728 0.5459 0.3039
0.6728 0.9541 0.3039
0.6956 0.7500 0.8510
0.7115 0.2500 0.7822
0.7885 0.7500 0.2822
0.8044 0.2500 0.3510
0.8272 0.0459 0.8039
0.8272 0.4541 0.8039
0.9151 0.7500 0.5825
0.9305 0.5470 0.1227
0.9305 0.9530 0.1227
0.9640 0.2500 0.6366
```

---

# 4
Crystalline TaZnSe at its relaxed geometry, computed with PBE.

Crystal system: orthorhombic
Energy (eV per atom): -5.66
E above lowest polymorph (eV/atom): 0.036

Geometry as POSCAR:
```
TaZnSe
1.0
12.3822 0.0000 0.0000
0.0000 1.6200 2.8445
0.0000 -1.6200 2.8445
Ta Zn Se
2 2 2
direct
0.0000 0.0000 0.0000
0.5000 0.1206 0.1206
0.3320 0.7908 0.7908
0.6680 0.7908 0.7908
0.1436 0.3291 0.3291
0.8564 0.3291 0.3291
```

---

# 5
Crystalline YZrIn2 at its relaxed geometry, computed with PBE.

Crystal system: orthorhombic
Energy (eV per atom): -5.47
ΔH_f (0 K) (meV per atom): -346.1

Geometry as POSCAR:
```
YZrIn2
1.0
3.2938 -4.4394 0.0000
3.2938 4.4394 0.0000
0.0000 0.0000 3.2937
Y Zr In
1 1 2
direct
0.0000 0.0000 0.0000
0.5000 0.5000 0.0000
0.0000 0.5000 0.5000
0.5000 0.0000 0.5000
```

---

# 6
Crystalline CS at its relaxed geometry, computed with PBE.

Crystal system: tetragonal
Energy (eV per atom): -5.32
E above lowest polymorph (eV/atom): 0.132

Geometry as POSCAR:
```
CS
1.0
7.4199 0.0000 0.0000
0.0000 7.4199 0.0000
0.0000 0.0000 2.7335
C S
4 4
direct
0.2167 0.2167 0.0000
0.2833 0.7167 0.5000
0.7167 0.2833 0.5000
0.7833 0.7833 0.0000
0.1888 0.8112 0.0000
0.3112 0.3112 0.5000
0.6888 0.6888 0.5000
0.8112 0.1888 0.0000
```

---

Number 1: spin magnetization 0.00 μB/cell. Number 2: spin magnetization 0.00 μB/cell. Number 3: spin magnetization 0.00 μB/cell. Number 4: spin magnetization 0.00 μB/cell. Number 5: spin magnetization 0.30 μB/cell. Number 6: spin magnetization 0.00 μB/cell.